[1]
# Ac2YHo3 (PBE, optimized geometry)
data_Ac2YHo3
_chemical_formula_sum 'Ac8 Y4 Ho12'
_cell_length_a 16.107
_cell_length_b 7.587
_cell_length_c 7.496
_cell_angle_alpha 90.00
_cell_angle_beta 103.47
_cell_angle_gamma 90.00
_space_group_name_H-M_alt 'C 1 2/c 1'
_space_group_IT_number 15
_space_group_name_Hall '-C 2yc'
loop_
_atom_site_label
_atom_site_type_symbol
_atom_site_fract_x
_atom_site_fract_y
_atom_site_fract_z
Ac1 Ac 0.183 0.001 0.092
Y1 Y 0.000 0.209 0.750
Ho1 Ho 0.000 0.213 0.250
Ho2 Ho 0.113 0.500 0.057
# density of states at the Fermi level	1.523	states/eV/atom
# DFT total energy	-4.5947	eV per atom
# magnetic moment	0.191	μB per formula unit

[2]
# AcYHo (PBE, optimized geometry)
data_AcYHo
_chemical_formula_sum 'Ac1 Y1 Ho1'
_cell_length_a 5.8640
_cell_length_b 5.8640
_cell_length_c 3.5992
_cell_angle_alpha 90.00
_cell_angle_beta 90.00
_cell_angle_gamma 120.00
_space_group_name_H-M_alt 'P -6 m 2'
_space_group_IT_number 187
_space_group_name_Hall 'P -6 2'
loop_
_atom_site_label
_atom_site_type_symbol
_atom_site_fract_x
_atom_site_fract_y
_atom_site_fract_z
Ac1 Ac 0.0000 0.0000 0.0000
Y1 Y 0.6667 0.3333 0.5000
Ho1 Ho 0.3333 0.6667 0.0000
# density of states at the Fermi level	1.861	states/eV/atom
# energy above the most stable polymorph in this dataset	0.074	eV/atom
# magnetic moment	0.000	μB per formula unit

[3]
# AcY14Ho (PBE, optimized geometry)
data_AcY14Ho
_chemical_formula_sum 'Ac2 Y28 Ho2'
_cell_length_a 11.608
_cell_length_b 7.230
_cell_length_c 12.519
_cell_angle_alpha 90.00
_cell_angle_beta 90.00
_cell_angle_gamma 90.00
_space_group_name_H-M_alt 'A m m 2'
_space_group_IT_number 38
_space_group_name_Hall 'A 2 -2'
loop_
_atom_site_label
_atom_site_type_symbol
_atom_site_fract_x
_atom_site_fract_y
_atom_site_fract_z
Ac1 Ac 0.000 0.000 0.000
Y1 Y 0.000 0.249 0.250
Y2 Y 0.249 0.000 0.666
Y3 Y 0.254 0.248 0.416
Y4 Y 0.255 0.000 0.168
Y5 Y 0.500 0.000 0.333
Y6 Y 0.500 0.000 0.832
Y7 Y 0.500 0.249 0.583
Ho1 Ho 0.000 0.000 0.499
# density of states at the Fermi level	1.430	states/eV/atom
# DFT total energy	-6.1839	eV per atom
# magnetic moment	0.000	μB per formula unit

[4]
# Ac6YHo2 (PBE, optimized geometry)
data_Ac6YHo2
_chemical_formula_sum 'Ac24 Y4 Ho8'
_cell_length_a 16.181
_cell_length_b 9.495
_cell_length_c 9.967
_cell_angle_alpha 90.00
_cell_angle_beta 100.75
_cell_angle_gamma 90.00
_space_group_name_H-M_alt 'C 1 2/c 1'
_space_group_IT_number 15
_space_group_name_Hall '-C 2yc'
loop_
_atom_site_label
_atom_site_type_symbol
_atom_site_fract_x
_atom_site_fract_y
_atom_site_fract_z
Ac1 Ac 0.106 0.189 0.116
Ac2 Ac 0.119 0.433 0.826
Ac3 Ac 0.134 0.219 0.507
Y1 Y 0.000 0.094 0.750
Ho1 Ho 0.219 0.079 0.846
# density of states at the Fermi level	1.687	states/eV/atom
# DFT total energy	-4.3066	eV per atom
# magnetic moment	0.000	μB per formula unit

[5]
# AcY2Ho (PBE, optimized geometry)
data_AcY2Ho
_chemical_formula_sum 'Ac4 Y8 Ho4'
_cell_length_a 8.254
_cell_length_b 8.254
_cell_length_c 8.254
_cell_angle_alpha 90.00
_cell_angle_beta 90.00
_cell_angle_gamma 90.00
_space_group_name_H-M_alt 'F m -3 m'
_space_group_IT_number 225
_space_group_name_Hall '-F 4 2 3'
loop_
_atom_site_label
_atom_site_type_symbol
_atom_site_fract_x
_atom_site_fract_y
_atom_site_fract_z
Ac1 Ac 0.000 0.000 0.000
Y1 Y 0.250 0.250 0.250
Ho1 Ho 0.000 0.000 0.500
# density of states at the Fermi level	1.620	states/eV/atom
# energy above the most stable polymorph in this dataset	0.075	eV/atom
# magnetic moment	0.000	μB per formula unit

[6]
# Ac2Y7Ho3 (PBE, optimized geometry)
data_Ac2Y7Ho3
_chemical_formula_sum 'Ac2 Y7 Ho3'
_cell_length_a 6.465
_cell_length_b 3.607
_cell_length_c 17.595
_cell_angle_alpha 90.00
_cell_angle_beta 90.17
_cell_angle_gamma 90.00
_space_group_name_H-M_alt 'P 1 2/m 1'
_space_group_IT_number 10
_space_group_name_Hall '-P 2y'
loop_
_atom_site_label
_atom_site_type_symbol
_atom_site_fract_x
_atom_site_fract_y
_atom_site_fract_z
Ac1 Ac 0.007 0.000 0.175
Y1 Y 0.178 0.500 0.341
Y2 Y 0.261 0.000 0.999
Y3 Y 0.330 0.000 0.663
Y4 Y 0.500 0.500 0.500
Ho1 Ho 0.000 0.000 0.500
Ho2 Ho 0.499 0.500 0.159
# density of states at the Fermi level	1.754	states/eV/atom
# DFT total energy	-5.4954	eV per atom
# magnetic moment	0.336	μB per formula unit

[7]
# Ac8Y3Ho2 (PBE, optimized geometry)
data_Ac8Y3Ho2
_chemical_formula_sum 'Ac8 Y3 Ho2'
_cell_length_a 6.633
_cell_length_b 6.656
_cell_length_c 12.056
_cell_angle_alpha 89.98
_cell_angle_beta 79.24
_cell_angle_gamma 80.31
_space_group_name_H-M_alt 'P -1'
_space_group_IT_number 2
_space_group_name_Hall '-P 1'
loop_
_atom_site_label
_atom_site_type_symbol
_atom_site_fract_x
_atom_site_fract_y
_atom_site_fract_z
Ac1 Ac 0.042 0.082 0.349
Ac2 Ac 0.197 0.385 0.726
Ac3 Ac 0.339 0.693 0.115
Ac4 Ac 0.420 0.848 0.808
Y1 Y 0.274 0.538 0.427
Y2 Y 0.500 0.000 0.500
Ho1 Ho 0.111 0.233 0.037
# density of states at the Fermi level	1.593	states/eV/atom
# DFT total energy	-4.6661	eV per atom
# magnetic moment	0.000	μB per formula unit

[8]
# Ac2Y8Ho3 (PBE, optimized geometry)
data_Ac2Y8Ho3
_chemical_formula_sum 'Ac4 Y16 Ho6'
_cell_length_a 13.245
_cell_length_b 11.786
_cell_length_c 6.255
_cell_angle_alpha 90.00
_cell_angle_beta 114.05
_cell_angle_gamma 90.00
_space_group_name_H-M_alt 'C 1 2/m 1'
_space_group_IT_number 12
_space_group_name_Hall '-C 2y'
loop_
_atom_site_label
_atom_site_type_symbol
_atom_site_fract_x
_atom_site_fract_y
_atom_site_fract_z
Ac1 Ac 0.201 0.000 0.354
Y1 Y 0.071 0.000 0.774
Y2 Y 0.150 0.500 0.043
Y3 Y 0.164 0.249 0.671
Ho1 Ho 0.000 0.251 0.000
Ho2 Ho 0.000 0.500 0.500
# density of states at the Fermi level	1.697	states/eV/atom
# DFT total energy	-5.4588	eV per atom
# magnetic moment	0.000	μB per formula unit

[9]
# Ac8Y2Ho (PBE, optimized geometry)
data_Ac8Y2Ho
_chemical_formula_sum 'Ac16 Y4 Ho2'
_cell_length_a 6.002
_cell_length_b 8.996
_cell_length_c 17.186
_cell_angle_alpha 90.00
_cell_angle_beta 90.00
_cell_angle_gamma 90.00
_space_group_name_H-M_alt 'I m m m'
_space_group_IT_number 71
_space_group_name_Hall '-I 2 2'
loop_
_atom_site_label
_atom_site_type_symbol
_atom_site_fract_x
_atom_site_fract_y
_atom_site_fract_z
Ac1 Ac 0.000 0.000 0.162
Ac2 Ac 0.000 0.207 0.360
Ac3 Ac 0.000 0.296 0.000
Y1 Y 0.000 0.500 0.199
Ho1 Ho 0.000 0.500 0.500
# density of states at the Fermi level	1.637	states/eV/atom
# DFT total energy	-4.4440	eV per atom
# magnetic moment	0.000	μB per formula unit

[10]
# AcY7Ho2 (PBE, optimized geometry)
data_AcY7Ho2
_chemical_formula_sum 'Ac1 Y7 Ho2'
_cell_length_a 6.674
_cell_length_b 6.758
_cell_length_c 8.125
_cell_angle_alpha 74.25
_cell_angle_beta 72.20
_cell_angle_gamma 84.78
_space_group_name_H-M_alt 'P -1'
_space_group_IT_number 2
_space_group_name_Hall '-P 1'
loop_
_atom_site_label
_atom_site_type_symbol
_atom_site_fract_x
_atom_site_fract_y
_atom_site_fract_z
Ac1 Ac 0.000 0.000 0.000
Y1 Y 0.000 0.000 0.500
Y2 Y 0.201 0.573 0.780
Y3 Y 0.220 0.527 0.343
Y4 Y 0.437 0.233 0.062
Ho1 Ho 0.455 0.161 0.622
# density of states at the Fermi level	1.618	states/eV/atom
# DFT total energy	-5.7729	eV per atom
# magnetic moment	0.000	μB per formula unit

[11]
# AcY4Ho4 (PBE, optimized geometry)
data_AcY4Ho4
_chemical_formula_sum 'Ac2 Y8 Ho8'
_cell_length_a 10.815
_cell_length_b 10.815
_cell_length_c 5.068
_cell_angle_alpha 90.00
_cell_angle_beta 90.00
_cell_angle_gamma 90.00
_space_group_name_H-M_alt 'I 4/m m m'
_space_group_IT_number 139
_space_group_name_Hall '-I 4 2'
loop_
_atom_site_label
_atom_site_type_symbol
_atom_site_fract_x
_atom_site_fract_y
_atom_site_fract_z
Ac1 Ac 0.000 0.000 0.000
Y1 Y 0.000 0.335 0.000
Ho1 Ho 0.170 0.170 0.500
# density of states at the Fermi level	1.532	states/eV/atom
# energy above the most stable polymorph in this dataset	0.000	eV/atom
# magnetic moment	0.000	μB per formula unit

[12]
# AcYHo (PBE, optimized geometry)
data_AcYHo
_chemical_formula_sum 'Ac4 Y4 Ho4'
_cell_length_a 5.266
_cell_length_b 5.271
_cell_length_c 15.499
_cell_angle_alpha 90.00
_cell_angle_beta 90.02
_cell_angle_gamma 90.00
_space_group_name_H-M_alt 'C 1 2 1'
_space_group_IT_number 5
_space_group_name_Hall 'C 2y'
loop_
_atom_site_label
_atom_site_type_symbol
_atom_site_fract_x
_atom_site_fract_y
_atom_site_fract_z
Ac1 Ac 0.250 0.000 0.096
Y1 Y 0.250 0.000 0.728
Ho1 Ho 0.250 0.001 0.424
# density of states at the Fermi level	1.683	states/eV/atom
# energy above the most stable polymorph in this dataset	0.002	eV/atom
# magnetic moment	0.000	μB per formula unit

[13]
# Ac2Y3Ho4 (PBE, optimized geometry)
data_Ac2Y3Ho4
_chemical_formula_sum 'Ac2 Y3 Ho4'
_cell_length_a 3.6845
_cell_length_b 3.6845
_cell_length_c 26.7281
_cell_angle_alpha 90.00
_cell_angle_beta 90.00
_cell_angle_gamma 120.00
_space_group_name_H-M_alt 'P 3 m 1'
_space_group_IT_number 156
_space_group_name_Hall 'P 3 -2"'
loop_
_atom_site_label
_atom_site_type_symbol
_atom_site_fract_x
_atom_site_fract_y
_atom_site_fract_z
Ac1 Ac 0.0000 0.0000 0.0000
Ac2 Ac 0.0000 0.0000 0.2304
Y1 Y 0.0000 0.0000 0.7814
Y2 Y 0.3333 0.6667 0.1176
Y3 Y 0.3333 0.6667 0.4685
Ho1 Ho 0.0000 0.0000 0.3656
Ho2 Ho 0.0000 0.0000 0.5733
Ho3 Ho 0.3333 0.6667 0.6767
Ho4 Ho 0.3333 0.6667 0.8856
# density of states at the Fermi level	1.718	states/eV/atom
# DFT total energy	-5.0215	eV per atom
# magnetic moment	0.001	μB per formula unit

[14]
# AcY3Ho (PBE, optimized geometry)
data_AcY3Ho
_chemical_formula_sum 'Ac4 Y12 Ho4'
_cell_length_a 18.424
_cell_length_b 4.914
_cell_length_c 8.638
_cell_angle_alpha 90.00
_cell_angle_beta 112.36
_cell_angle_gamma 90.00
_space_group_name_H-M_alt 'C 1 2/m 1'
_space_group_IT_number 12
_space_group_name_Hall '-C 2y'
loop_
_atom_site_label
_atom_site_type_symbol
_atom_site_fract_x
_atom_site_fract_y
_atom_site_fract_z
Ac1 Ac 0.116 0.000 0.147
Y1 Y 0.057 0.000 0.700
Y2 Y 0.085 0.500 0.445
Y3 Y 0.227 0.000 0.629
Ho1 Ho 0.189 0.500 0.891
# density of states at the Fermi level	1.676	states/eV/atom
# energy above the most stable polymorph in this dataset	0.024	eV/atom
# magnetic moment	0.000	μB per formula unit

[15]
# Ac2Y5Ho2 (PBE, optimized geometry)
data_Ac2Y5Ho2
_chemical_formula_sum 'Ac4 Y10 Ho4'
_cell_length_a 22.174
_cell_length_b 3.615
_cell_length_c 8.336
_cell_angle_alpha 90.00
_cell_angle_beta 99.14
_cell_angle_gamma 90.00
_space_group_name_H-M_alt 'C 1 2/m 1'
_space_group_IT_number 12
_space_group_name_Hall '-C 2y'
loop_
_atom_site_label
_atom_site_type_symbol
_atom_site_fract_x
_atom_site_fract_y
_atom_site_fract_z
Ac1 Ac 0.179 0.000 0.136
Y1 Y 0.000 0.000 0.000
Y2 Y 0.090 0.000 0.719
Y3 Y 0.190 0.500 0.536
Ho1 Ho 0.047 0.500 0.354
# density of states at the Fermi level	1.602	states/eV/atom
# DFT total energy	-5.3052	eV per atom
# magnetic moment	0.000	μB per formula unit

[16]
# Ac2Y5Ho (PBE, optimized geometry)
data_Ac2Y5Ho
_chemical_formula_sum 'Ac4 Y10 Ho2'
_cell_length_a 5.250
_cell_length_b 5.250
_cell_length_c 20.324
_cell_angle_alpha 90.00
_cell_angle_beta 90.00
_cell_angle_gamma 90.00
_space_group_name_H-M_alt 'I 4/m m m'
_space_group_IT_number 139
_space_group_name_Hall '-I 4 2'
loop_
_atom_site_label
_atom_site_type_symbol
_atom_site_fract_x
_atom_site_fract_y
_atom_site_fract_z
Ac1 Ac 0.000 0.000 0.250
Y1 Y 0.000 0.000 0.000
Y2 Y 0.000 0.500 0.118
Ho1 Ho 0.000 0.000 0.500
# density of states at the Fermi level	1.757	states/eV/atom
# DFT total energy	-5.5824	eV per atom
# magnetic moment	0.000	μB per formula unit

[17]
# Ac2Y6Ho (PBE, optimized geometry)
data_Ac2Y6Ho
_chemical_formula_sum 'Ac2 Y6 Ho1'
_cell_length_a 8.821
_cell_length_b 3.643
_cell_length_c 10.146
_cell_angle_alpha 90.00
_cell_angle_beta 101.54
_cell_angle_gamma 90.00
_space_group_name_H-M_alt 'P 1 2/m 1'
_space_group_IT_number 10
_space_group_name_Hall '-P 2y'
loop_
_atom_site_label
_atom_site_type_symbol
_atom_site_fract_x
_atom_site_fract_y
_atom_site_fract_z
Ac1 Ac 0.193 0.000 0.460
Y1 Y 0.126 0.500 0.785
Y2 Y 0.183 0.000 0.099
Y3 Y 0.484 0.500 0.324
Ho1 Ho 0.500 0.500 0.000
# density of states at the Fermi level	1.799	states/eV/atom
# DFT total energy	-5.6025	eV per atom
# magnetic moment	0.000	μB per formula unit

[18]
# Ac2YHo (PBE, optimized geometry)
data_Ac2YHo
_chemical_formula_sum 'Ac8 Y4 Ho4'
_cell_length_a 8.475
_cell_length_b 8.475
_cell_length_c 8.475
_cell_angle_alpha 90.00
_cell_angle_beta 90.00
_cell_angle_gamma 90.00
_space_group_name_H-M_alt 'F m -3 m'
_space_group_IT_number 225
_space_group_name_Hall '-F 4 2 3'
loop_
_atom_site_label
_atom_site_type_symbol
_atom_site_fract_x
_atom_site_fract_y
_atom_site_fract_z
Ac1 Ac 0.250 0.250 0.250
Y1 Y 0.000 0.000 0.000
Ho1 Ho 0.000 0.000 0.500
# density of states at the Fermi level	1.631	states/eV/atom
# energy above the most stable polymorph in this dataset	0.038	eV/atom
# magnetic moment	0.001	μB per formula unit

[19]
# Ac2Y7Ho2 (PBE, optimized geometry)
data_Ac2Y7Ho2
_chemical_formula_sum 'Ac4 Y14 Ho4'
_cell_length_a 11.633
_cell_length_b 11.720
_cell_length_c 6.201
_cell_angle_alpha 90.00
_cell_angle_beta 114.22
_cell_angle_gamma 90.00
_space_group_name_H-M_alt 'C 1 2/m 1'
_space_group_IT_number 12
_space_group_name_Hall '-C 2y'
loop_
_atom_site_label
_atom_site_type_symbol
_atom_site_fract_x
_atom_site_fract_y
_atom_site_fract_z
Ac1 Ac 0.000 0.210 0.000
Y1 Y 0.000 0.000 0.500
Y2 Y 0.096 0.500 0.315
Y3 Y 0.172 0.234 0.666
Ho1 Ho 0.248 0.000 0.080
# density of states at the Fermi level	1.639	states/eV/atom
# energy above the most stable polymorph in this dataset	0.055	eV/atom
# magnetic moment	0.000	μB per formula unit

[20]
# Ac2Y7Ho2 (PBE, optimized geometry)
data_Ac2Y7Ho2
_chemical_formula_sum 'Ac4 Y14 Ho4'
_cell_length_a 17.682
_cell_length_b 11.957
_cell_length_c 3.730
_cell_angle_alpha 90.00
_cell_angle_beta 102.14
_cell_angle_gamma 90.00
_space_group_name_H-M_alt 'C 1 2/m 1'
_space_group_IT_number 12
_space_group_name_Hall '-C 2y'
loop_
_atom_site_label
_atom_site_type_symbol
_atom_site_fract_x
_atom_site_fract_y
_atom_site_fract_z
Ac1 Ac 0.194 0.000 0.193
Y1 Y 0.000 0.000 0.500
Y2 Y 0.107 0.500 0.109
Y3 Y 0.166 0.266 0.666
Ho1 Ho 0.000 0.244 0.000
# density of states at the Fermi level	1.252	states/eV/atom
# energy above the most stable polymorph in this dataset	0.000	eV/atom
# magnetic moment	0.000	μB per formula unit